[1]
Here is a relaxed MgZnFeSe3 crystal from OQMD. Energies are from PBE.

Output
DFT total energy in eV per cell: -48.20
Crystal system: orthorhombic
Density in Mg/m³: 5.2

a b c (Å): 6.685 6.685 10.197
angles (deg): 90.00 90.00 32.15
Last column: magnetic moment on the atom in μB.
Atoms (fractional coordinates):
Mg1 0.224 0.224 0.750  0.01
Mg2 0.776 0.776 0.250  0.01
Fe1 0.000 0.000 0.500  3.32
Fe2 0.000 0.000 0.000  3.32
Se1 0.635 0.635 0.567  0.12
Se2 0.365 0.365 0.067  0.12
Se3 0.889 0.889 0.750  0.10
Se4 0.365 0.365 0.433  0.12
Se5 0.111 0.111 0.250  0.10
Se6 0.635 0.635 0.933  0.12
Zn1 0.486 0.486 0.250  0.01
Zn2 0.514 0.514 0.750  0.01

***

[2]
Here is a relaxed MgZnFeSe3 crystal from OQMD. Energies are from PBE.

Output
DFT total energy in eV per cell: -48.24
Crystal system: orthorhombic
Density in Mg/m³: 5.1

a b c (Å): 6.479 6.479 10.901
angles (deg): 90.00 90.00 32.90
Last column: magnetic moment on the atom in μB.
Atoms (fractional coordinates):
Mg1 0.780 0.780 0.250  0.00
Mg2 0.220 0.220 0.750  0.00
Se1 0.112 0.112 0.250  0.17
Se2 0.366 0.366 0.427  0.13
Se3 0.888 0.888 0.750  0.17
Se4 0.634 0.634 0.927  0.13
Se5 0.366 0.366 0.073  0.13
Se6 0.634 0.634 0.573  0.13
Zn1 0.000 0.000 0.500  0.00
Zn2 0.000 0.000 0.000  0.01
Fe1 0.481 0.481 0.250  3.20
Fe2 0.519 0.519 0.750  3.20